Density functional theory data (PBE-GGA) for a relaxed NaPd2Cl2 crystal.

```
NaPd2Cl2
1.0
-2.528 2.055 -1.799
0.185 -2.317 -2.907
-6.628 -4.263 0.592
Cl Na Pd
2 1 2
direct
0.608 0.608 0.784
0.392 0.392 0.216
0.000 0.000 0.000
0.750 0.250 0.500
0.250 0.750 0.500
```

For the total moment, the calculation gives 0.0 μB per formula unit. As for the crystal system: tetragonal. The energy above the most stable polymorph in this dataset is 0 meV per atom.